Below is a relaxed structure of AcLaHg5, with properties calculated at the PBE level.

```
data_AcLaHg5
_symmetry_space_group_name_H-M 'P 4/m m m'
_symmetry_Int_Tables_number 123
_symmetry_space_group_name_Hall '-P 4 2'
_cell_length_a 5.421
_cell_length_b 5.421
_cell_length_c 7.221
_cell_angle_alpha 90.00
_cell_angle_beta 90.00
_cell_angle_gamma 90.00
loop_
_atom_site_label
_atom_site_type_symbol
_atom_site_fract_x
_atom_site_fract_y
_atom_site_fract_z
_atom_site_occupancy
Ac1 Ac 0.000 0.000 0.000 1
La1 La 0.500 0.500 0.500 1
Hg1 Hg 0.000 0.500 0.271 1
Hg2 Hg 0.500 0.500 0.000 1
```

D(E_F) = 5.90 states/eV/cell
ΔE_f = -0.3346 eV/atom